1.
Ac2GaGe5 | GGA-PBE | relaxed

Cell lengths 6.6761, 6.6761, 6.6761 Å; angles 84.01, 123.52, 123.52 degrees
Fractional positions:
Ge (0.0000, 0.7320, 0.2833)
Ge (0.4487, 0.7320, 0.7320)
Ga (0.0000, 0.8645, 0.8645)
Ac (0.5000, 0.2500, 0.7500)
Ac (0.5000, 0.7500, 0.2500)
Ge (0.5513, 0.2833, 0.2833)
Ge (0.0000, 0.2833, 0.7320)
Ge (0.0000, 0.3269, 0.3269)

D(E_F): 0.39 states/eV per atom
E_form: -0.427 eV/atom
Symmetry: I4mm, No. 107
Crystal system: tetragonal



2.
CeErGaRu | GGA-PBE | relaxed

Cell lengths 4.9547, 4.9547, 4.9547 Å; angles 60.00, 60.00, 60.00 degrees
Last column: magnetic moment on the atom in μB.
Fractional positions:
Ru (0.7500, 0.7500, 0.7500)  0.00
Er (0.5000, 0.5000, 0.5000)  0.01
Ce (0.0000, 0.0000, 0.0000)  0.16
Ga (0.2500, 0.2500, 0.2500)  0.00

D(E_F): 1.20 states/eV per atom
E_form: -0.398 eV/atom
Symmetry: F-43m, No. 216
Crystal system: cubic